1.
A plane-wave DFT calculation with PBE was carried out for Hg4Pb after structural relaxation.

Values from the calculation:
Its theoretical density is 12.449 g/cm3. Its polymorph energy (0 for the lowest one) is 0.000 eV/atom. As for the formation energy: 31 meV per atom. As for the spin magnetization: 0.000 μB/cell. The total energy comes out at -0.95 eV/atom.

Cell and atoms, written as CIF:
```
data_Hg4Pb
_chemical_formula_sum 'Hg8 Pb2'
_space_group_name_H-M_alt 'I 4/m'
_space_group_IT_number 87
_space_group_name_Hall '-I 4'
_cell_length_a 8.663
_cell_length_b 8.663
_cell_length_c 3.588
_cell_angle_alpha 90.00
_cell_angle_beta 90.00
_cell_angle_gamma 90.00
loop_
_atom_site_label
_atom_site_type_symbol
_atom_site_fract_x
_atom_site_fract_y
_atom_site_fract_z
_atom_site_occupancy
Hg1 Hg 0.103 0.306 0.000 1
Pb1 Pb 0.000 0.000 0.500 1
```



2.
A plane-wave DFT calculation with PBE was carried out for PmDyNi2 after structural relaxation.

Values from the calculation:
Its theoretical density is 8.505 g/cm3. Its polymorph energy (0 for the lowest one) is 0.000 eV/atom. As for the formation energy: -399 meV per atom. As for the spin magnetization: 0.000 μB/cell. The total energy comes out at -5.63 eV/atom.

Cell and atoms, written as CIF:
```
data_PmDyNi2
_chemical_formula_sum 'Pm2 Dy2 Ni4'
_space_group_name_H-M_alt 'A m m 2'
_space_group_IT_number 38
_space_group_name_Hall 'A 2 -2'
_cell_length_a 4.253
_cell_length_b 3.785
_cell_length_c 10.309
_cell_angle_alpha 90.00
_cell_angle_beta 90.00
_cell_angle_gamma 90.00
loop_
_atom_site_label
_atom_site_type_symbol
_atom_site_fract_x
_atom_site_fract_y
_atom_site_fract_z
_atom_site_occupancy
Pm1 Pm 0.000 0.000 0.000 1
Dy1 Dy 0.500 0.000 0.277 1
Ni1 Ni 0.000 0.000 0.714 1
Ni2 Ni 0.500 0.000 0.571 1
```